Density functional theory data (GGA-PBEsol) for a relaxed Tm3Ga2 crystal.

Summary:
theoretical density = 9.4 g cm⁻³
SG = I4/mcm
raw total energy = -4.849 eV/atom
volume = 22.927 Å³/atom

abc: 10.756 10.756 10.756
angles: 95.54 116.85 116.85
Positions (direct):
Tm: 0.500 0.147 0.647
Tm: 0.500 0.647 0.147
Tm: 0.500 0.853 0.353
Tm: 0.500 0.353 0.853
Tm: 0.161 0.331 0.831
Tm: 0.839 0.669 0.169
Tm: 0.500 0.831 0.669
Tm: 0.500 0.169 0.331
Tm: 0.731 0.662 0.798
Tm: 0.269 0.067 0.931
Tm: 0.864 0.162 0.431
Tm: 0.136 0.567 0.298
Tm: 0.864 0.931 0.662
Tm: 0.136 0.798 0.067
Tm: 0.731 0.298 0.162
Tm: 0.269 0.431 0.567
Tm: 0.269 0.338 0.202
Tm: 0.731 0.933 0.069
Tm: 0.136 0.838 0.569
Tm: 0.864 0.433 0.702
Tm: 0.136 0.069 0.338
Tm: 0.864 0.202 0.933
Tm: 0.269 0.702 0.838
Tm: 0.731 0.569 0.433
Ga: 0.000 0.750 0.750
Ga: 0.000 0.250 0.250
Ga: 0.000 0.000 0.000
Ga: 0.000 0.500 0.500
Ga: 0.264 0.882 0.382
Ga: 0.736 0.118 0.618
Ga: 0.500 0.382 0.118
Ga: 0.500 0.618 0.882
Ga: 0.146 0.524 0.024
Ga: 0.854 0.879 0.379
Ga: 0.500 0.024 0.879
Ga: 0.500 0.379 0.524
Ga: 0.854 0.476 0.976
Ga: 0.146 0.121 0.621
Ga: 0.500 0.976 0.121
Ga: 0.500 0.621 0.476